# 1
Compound: Ba2ScOsO6
Source: the Open Quantum Materials Database
Functional: PBE-GGA
Structure: optimized geometry

abc: 8.175 8.175 8.175
angles: 90.00 90.00 90.00
Space group Fm-3m (No. 225)
Unique sites:
Ba1 0.250 0.250 0.250 (multiplicity 8)
Sc1 0.000 0.000 0.000 (multiplicity 4)
Os1 0.000 0.000 0.500 (multiplicity 4)
O1 0.000 0.000 0.257 (multiplicity 24)

Results
Crystal system: cubic
Total DFT energy (no corrections) (eV/cell): -302.88
M_tot (μB per formula unit): 2.9


# 2
Compound: Ba2YOsO6
Source: the Open Quantum Materials Database
Functional: PBE-GGA
Structure: optimized geometry

abc: 8.392 8.392 8.392
angles: 90.00 90.00 90.00
Space group Fm-3m (No. 225)
Unique sites:
Ba1 0.250 0.250 0.250 (multiplicity 8)
Y1 0.000 0.000 0.000 (multiplicity 4)
Os1 0.000 0.000 0.500 (multiplicity 4)
O1 0.000 0.000 0.265 (multiplicity 24)

Results
Crystal system: cubic
Total DFT energy (no corrections) (eV/cell): -302.86
M_tot (μB per formula unit): 3.0